# 1
This record from the Alexandria database describes an optimized crystal structure of Sr2Cd2H. The functional is PBEsol.

The structure belongs to space group I4/mmm (No. 139); the cell edges are 6.447, 6.447 and 7.264 Å and the angles 90.00°, 90.00° and 90.00°. The inequivalent atoms are Sr at (0.000, 0.500, 0.250), Cd at (0.000, 0.000, 0.191) and H at (0.000, 0.000, 0.500).



# 2
This record from the Alexandria database describes an optimized crystal structure of Ta3CdH. The functional is PBEsol.

The structure belongs to space group Pm-3m (No. 221); the cell edges are 4.180, 4.180 and 4.180 Å and the angles 90.00°, 90.00° and 90.00°. The inequivalent atoms are Ta at (0.000, 0.000, 0.500), Cd at (0.500, 0.500, 0.500) and H at (0.000, 0.000, 0.000).



# 3
This record from the Alexandria database describes an optimized crystal structure of Ta2CdH. The functional is PBEsol.

The structure belongs to space group Fd-3m (No. 227, origin choice 2); the cell edges are 8.063, 8.063 and 8.063 Å and the angles 90.00°, 90.00° and 90.00°. The inequivalent atoms are Ta at (0.000, 0.000, 0.000), Cd at (0.125, 0.125, 0.625) and H at (0.125, 0.125, 0.125).



# 4
This record from the Alexandria database describes an optimized crystal structure of CdTe2H. The functional is PBEsol.

The structure belongs to space group R-3m (No. 166, hexagonal axes); the cell edges are 3.1677, 3.1677 and 28.3864 Å and the angles 90.00°, 90.00° and 120.00°. The inequivalent atoms are Cd at (0.0000, 0.0000, 0.0000), Te at (0.0000, 0.0000, 0.1069) and H at (0.0000, 0.0000, 0.5000).



# 5
This record from the Alexandria database describes an optimized crystal structure of Ti3CdH. The functional is PBEsol.

The structure belongs to space group Pm-3m (No. 221); the cell edges are 4.100, 4.100 and 4.100 Å and the angles 90.00°, 90.00° and 90.00°. The inequivalent atoms are Ti at (0.000, 0.000, 0.500), Cd at (0.500, 0.500, 0.500) and H at (0.000, 0.000, 0.000).



# 6
This record from the Alexandria database describes an optimized crystal structure of Ti2CdH2. The functional is PBEsol.

The structure belongs to space group I4/mmm (No. 139); the cell edges are 3.451, 3.451 and 9.401 Å and the angles 90.00°, 90.00° and 90.00°. The inequivalent atoms are Ti at (0.000, 0.000, 0.166), Cd at (0.000, 0.000, 0.500) and H at (0.000, 0.500, 0.250).



# 7
This record from the Alexandria database describes an optimized crystal structure of Tl3CdH. The functional is PBEsol.

The structure belongs to space group Pm-3m (No. 221); the cell edges are 4.829, 4.829 and 4.829 Å and the angles 90.00°, 90.00° and 90.00°. The inequivalent atoms are Tl at (0.000, 0.000, 0.500), Cd at (0.500, 0.500, 0.500) and H at (0.000, 0.000, 0.000).



# 8
This record from the Alexandria database describes an optimized crystal structure of Cd3HW. The functional is PBEsol.

The structure belongs to space group Pm-3m (No. 221); the cell edges are 4.244, 4.244 and 4.244 Å and the angles 90.00°, 90.00° and 90.00°. The inequivalent atoms are Cd at (0.000, 0.000, 0.500), H at (0.000, 0.000, 0.000) and W at (0.500, 0.500, 0.500).



# 9
This record from the Alexandria database describes an optimized crystal structure of Hf2Cd. The functional is PBEsol.

The structure belongs to space group I4/mmm (No. 139); the cell edges are 3.205, 3.205 and 12.232 Å and the angles 90.00°, 90.00° and 90.00°. The inequivalent atoms are Hf at (0.000, 0.000, 0.168) and Cd at (0.000, 0.000, 0.500).

The energy relative to the elements comes out at -0.27 eV per formula unit.



# 10
This record from the Alexandria database describes an optimized crystal structure of LaHfCdHg2. The functional is PBEsol.

The structure belongs to space group P4/mmm (No. 123); the cell edges are 5.507, 5.507 and 5.588 Å and the angles 90.00°, 90.00° and 90.00°. The inequivalent atoms are La at (0.000, 0.000, 0.000), Hf at (0.500, 0.500, 0.500), Cd at (0.000, 0.000, 0.500) and Hg at (0.000, 0.500, 0.000).

The energy relative to the elements comes out at 6.52 eV per formula unit.



# 11
This record from the Alexandria database describes an optimized crystal structure of HfCdI2O. The functional is PBEsol.

The structure belongs to space group P4/mmm (No. 123); the cell edges are 5.785, 5.785 and 3.950 Å and the angles 90.00°, 90.00° and 90.00°. The inequivalent atoms are Hf at (0.000, 0.000, 0.000), Cd at (0.500, 0.500, 0.500), I at (0.000, 0.500, 0.000) and O at (0.000, 0.000, 0.500).

As for the formation energy (no corrections): -1.071 eV per atom.



# 12
This record from the Alexandria database describes an optimized crystal structure of HfCd3Ir. The functional is PBEsol.

The structure belongs to space group Pm-3m (No. 221); the cell edges are 4.978, 4.978 and 4.978 Å and the angles 90.00°, 90.00° and 90.00°. The inequivalent atoms are Hf at (0.000, 0.000, 0.000), Cd at (0.000, 0.500, 0.500) and Ir at (0.500, 0.500, 0.500).

The energy relative to the elements comes out at 4.56 eV per formula unit.



| no. | final energy (eV/atom) |
| --- | --- |
| 1 | -1.643 |
| 2 | -8.327 |
| 3 | -6.881 |
| 4 | -2.446 |
| 5 | -6.101 |
| 6 | -5.216 |
| 7 | -2.243 |
| 8 | -3.340 |
| 9 | -7.491 |
| 10 | -2.332 |
| 11 | -5.168 |
| 12 | -3.871 |